Density functional theory data (PBE) for a relaxed PmPr2Co crystal.

Unit cell a=3.545 b=3.545 c=9.195 alpha=90.00 beta=90.00 gamma=90.00
Space group P4/mmm (No. 123)
Symmetry-distinct sites (fractional):
1 Pm 0.000 0.000 0.000 [1 per cell]
2 Pr 0.500 0.500 0.316 [2 per cell]
3 Co 0.000 0.000 0.500 [1 per cell]

Spin magnetization   1.1 μB per formula unit
Volume   115.6 Å³/cell
Energy relative to the lowest polymorph listed for this composition   0.139 eV/atom
ΔE_f   0.0841 eV/atom
Crystal system   tetragonal